The following is a PBE calculation of a relaxed CeTmMgIr crystal, from Alexandria.

abc: 7.120 7.120 7.120
angles: 90.00 90.00 90.00
Space group F-43m (No. 216)
Asymmetric unit:
Ce: 0.000 0.000 0.000
Tm: 0.000 0.000 0.500
Mg: 0.250 0.250 0.250
Ir: 0.250 0.250 0.750

formation energy	-0.36	eV per atom
M_tot	0.127	μB/atom
VASP energy	-89.26	eV per cell